*1*
DFT (PBE-GGA) results for crystalline YTc2Rh2 at its relaxed geometry.

Lattice parameters (Å, degrees): 7.7130 7.7130 2.8102 90.00 90.00 90.00
Last column: nearest neighbours and their distance in Å.
Atoms (fractional coordinates):
Y1 0.0000 0.0000 0.0000  2 Y 2.81, 4 Tc 3.09
Y2 0.5000 0.5000 0.0000  2 Y 2.81, 4 Tc 3.09
Rh1 0.1756 0.6756 0.5000  6 Tc 2.67-2.69, 2 Rh 2.81
Rh2 0.6756 0.8244 0.5000  6 Tc 2.67-2.69, 2 Rh 2.81
Rh3 0.8244 0.3244 0.5000  6 Tc 2.67-2.69, 2 Rh 2.81
Rh4 0.3244 0.1756 0.5000  6 Tc 2.67-2.69, 2 Rh 2.81
Tc1 0.3835 0.8835 0.0000  3 Tc 2.54-2.81, 6 Rh 2.67-2.69
Tc2 0.8835 0.6165 0.0000  3 Tc 2.54-2.81, 6 Rh 2.67-2.69
Tc3 0.6165 0.1165 0.0000  3 Tc 2.54-2.81, 6 Rh 2.67-2.69
Tc4 0.1165 0.3835 0.0000  3 Tc 2.54-2.81, 6 Rh 2.67-2.69

Properties
M_tot, μB per cell: 0.0

=====

*2*
DFT (PBE-GGA) results for crystalline YTc2Rh2 at its relaxed geometry.

Lattice parameters (Å, degrees): 4.1657 4.1657 6.0503 69.86 69.86 90.00
Last column: nearest neighbours and their distance in Å.
Atoms (fractional coordinates):
Y1 0.0000 0.0000 0.0000  8 Tc 3.15, 8 Rh 3.36
Rh1 0.7500 0.2500 0.5000  4 Tc 2.58
Rh2 0.2500 0.7500 0.5000  4 Tc 2.58
Tc1 0.3944 0.3944 0.2112  1 Tc 2.23
Tc2 0.6056 0.6056 0.7888  1 Tc 2.23

Properties
M_tot, μB per cell: 0.0

=====

Pick *2*: it beats the second-best structure by 1.4 kJ/mol of atoms.

=====

*1*
DFT (PBE-GGA) results for crystalline YTc3Rh at its relaxed geometry.

Lattice parameters (Å, degrees): 4.7097 4.7097 4.7097 90.00 90.00 90.00
Last column: nearest neighbours and their distance in Å.
Atoms (fractional coordinates):
Y1 0.5000 0.5000 0.5000  12 Tc 3.33
Rh1 0.0000 0.0000 0.0000  6 Tc 2.35
Tc1 0.0000 0.5000 0.0000  2 Rh 2.35
Tc2 0.0000 0.0000 0.5000  2 Rh 2.35
Tc3 0.5000 0.0000 0.0000  2 Rh 2.35

Properties
M_tot, μB per cell: 0.0

=====

*2*
DFT (PBE-GGA) results for crystalline YTc3Rh at its relaxed geometry.

Lattice parameters (Å, degrees): 4.6815 4.6815 4.6815 90.00 90.00 90.00
Last column: nearest neighbours and their distance in Å.
Atoms (fractional coordinates):
Y1 0.0000 0.0000 0.0000  6 Tc 2.34
Rh1 0.5000 0.5000 0.5000  12 Tc 3.31
Tc1 0.0000 0.5000 0.0000  2 Y 2.34
Tc2 0.0000 0.0000 0.5000  2 Y 2.34
Tc3 0.5000 0.0000 0.0000  2 Y 2.34

Properties
M_tot, μB per cell: 0.0

=====

Pick *1*: it beats the second-best structure by 133.0 kJ/mol of atoms.

=====

*1*
DFT (PBE-GGA) results for crystalline Zn2TcRh2 at its relaxed geometry.

Lattice parameters (Å, degrees): 7.1586 7.1586 2.8405 90.00 90.00 90.00
Last column: nearest neighbours and their distance in Å.
Atoms (fractional coordinates):
Zn1 0.1653 0.6653 0.5000  6 Rh 2.48-2.58
Zn2 0.6653 0.8347 0.5000  6 Rh 2.48-2.58
Zn3 0.8347 0.3347 0.5000  6 Rh 2.48-2.58
Zn4 0.3347 0.1653 0.5000  6 Rh 2.48-2.58
Rh1 0.3665 0.8665 0.0000  6 Zn 2.48-2.58, 1 Rh 2.70
Rh2 0.8665 0.6335 0.0000  6 Zn 2.48-2.58, 1 Rh 2.70
Rh3 0.6335 0.1335 0.0000  6 Zn 2.48-2.58, 1 Rh 2.70
Rh4 0.1335 0.3665 0.0000  6 Zn 2.48-2.58, 1 Rh 2.70
Tc1 0.0000 0.0000 0.0000  4 Rh 2.79, 2 Tc 2.84, 8 Zn 3.03
Tc2 0.5000 0.5000 0.0000  4 Rh 2.79, 2 Tc 2.84, 8 Zn 3.03

Properties
M_tot, μB per cell: 0.0

=====

*2*
DFT (PBE-GGA) results for crystalline Zn2TcRh2 at its relaxed geometry.

Lattice parameters (Å, degrees): 7.0986 7.0986 2.8341 90.00 90.00 90.00
Last column: nearest neighbours and their distance in Å.
Atoms (fractional coordinates):
Zn1 0.3779 0.8779 0.0000  1 Zn 2.45, 6 Rh 2.46-2.59
Zn2 0.8779 0.6221 0.0000  1 Zn 2.45, 6 Rh 2.46-2.59
Zn3 0.6221 0.1221 0.0000  1 Zn 2.45, 6 Rh 2.46-2.59
Zn4 0.1221 0.3779 0.0000  1 Zn 2.45, 6 Rh 2.46-2.59
Rh1 0.1780 0.6780 0.5000  6 Zn 2.46-2.59
Rh2 0.6780 0.8220 0.5000  6 Zn 2.46-2.59
Rh3 0.8220 0.3220 0.5000  6 Zn 2.46-2.59
Rh4 0.3220 0.1780 0.5000  6 Zn 2.46-2.59
Tc1 0.0000 0.0000 0.0000  4 Zn 2.82, 2 Tc 2.83, 8 Rh 2.97
Tc2 0.5000 0.5000 0.0000  4 Zn 2.82, 2 Tc 2.83, 8 Rh 2.97

Properties
M_tot, μB per cell: 1.5

=====

Pick *2*: it beats the second-best structure by 9.6 kJ/mol of atoms.

=====

*1*
DFT (PBE-GGA) results for crystalline Zr4TcRh at its relaxed geometry.

Lattice parameters (Å, degrees): 5.5521 5.5521 5.5521 60.00 60.00 60.00
Last column: nearest neighbours and their distance in Å.
Atoms (fractional coordinates):
Zr1 0.8755 0.3748 0.3748  6 Zr 2.77-2.78
Zr2 0.3748 0.3748 0.8755  6 Zr 2.77-2.78
Zr3 0.3748 0.8755 0.3748  6 Zr 2.77-2.78
Zr4 0.3748 0.3748 0.3748  6 Zr 2.77-2.78
Tc1 0.0000 0.0000 0.0000  12 Zr 3.25, 4 Rh 3.40
Rh1 0.7500 0.7500 0.7500  12 Zr 3.26, 4 Tc 3.40

Properties
M_tot, μB per cell: 1.8

=====

*2*
DFT (PBE-GGA) results for crystalline Zr4TcRh at its relaxed geometry.

Lattice parameters (Å, degrees): 6.4730 6.4788 6.4452 90.00 84.21 90.00
Last column: nearest neighbours and their distance in Å.
Atoms (fractional coordinates):
Zr1 0.7470 0.7502 0.2524  2 Tc 2.68-2.90, 2 Rh 2.72-2.89
Zr2 0.7530 0.2502 0.7476  2 Tc 2.68-2.90, 2 Rh 2.72-2.89
Zr3 0.2471 0.2497 0.2536  2 Tc 2.68-2.89, 2 Rh 2.73-2.89
Zr4 0.2529 0.7497 0.7464  2 Tc 2.68-2.89, 2 Rh 2.73-2.89
Zr5 0.2530 0.2498 0.7476  2 Tc 2.68-2.90, 2 Rh 2.72-2.89
Zr6 0.2470 0.7498 0.2524  2 Tc 2.68-2.90, 2 Rh 2.72-2.89
Zr7 0.7529 0.7503 0.7464  2 Tc 2.68-2.89, 2 Rh 2.73-2.89
Zr8 0.7471 0.2503 0.2536  2 Tc 2.68-2.89, 2 Rh 2.73-2.89
Tc1 0.5000 0.0000 0.5000  8 Zr 2.68-2.90
Tc2 0.0000 0.5000 0.5000  8 Zr 2.68-2.90
Rh1 0.0000 0.0000 0.0000  8 Zr 2.72-2.89
Rh2 0.5000 0.5000 0.0000  8 Zr 2.72-2.89

Properties
M_tot, μB per cell: 0.0

=====

Pick *2*: it beats the second-best structure by 71.1 kJ/mol of atoms.

=====

*1*
DFT (PBE-GGA) results for crystalline Zr2Tc2Rh at its relaxed geometry.

Lattice parameters (Å, degrees): 7.4319 7.4319 3.2671 90.00 90.00 90.00
Last column: nearest neighbours and their distance in Å.
Atoms (fractional coordinates):
Rh1 0.0000 0.0000 0.0000  4 Zr 2.82
Rh2 0.5000 0.5000 0.0000  4 Zr 2.82
Tc1 0.1521 0.6521 0.5000  6 Zr 2.63-2.79
Tc2 0.6521 0.8479 0.5000  6 Zr 2.63-2.79
Tc3 0.8479 0.3479 0.5000  6 Zr 2.63-2.79
Tc4 0.3479 0.1521 0.5000  6 Zr 2.63-2.79
Zr1 0.3486 0.8486 0.0000  6 Tc 2.63-2.79, 2 Rh 2.82
Zr2 0.8486 0.6514 0.0000  6 Tc 2.63-2.79, 2 Rh 2.82
Zr3 0.6514 0.1514 0.0000  6 Tc 2.63-2.79, 2 Rh 2.82
Zr4 0.1514 0.3486 0.0000  6 Tc 2.63-2.79, 2 Rh 2.82

Properties
M_tot, μB per cell: 0.0

=====

*2*
DFT (PBE-GGA) results for crystalline Zr2Tc2Rh at its relaxed geometry.

Lattice parameters (Å, degrees): 3.4390 3.4390 8.4301 78.23 78.23 90.00
Last column: nearest neighbours and their distance in Å.
Atoms (fractional coordinates):
Rh1 0.0000 0.0000 0.0000  8 Zr 2.92
Tc1 0.7500 0.2500 0.5000  4 Tc 2.43
Tc2 0.2500 0.7500 0.5000  4 Tc 2.43
Zr1 0.4003 0.4003 0.1995  4 Rh 2.92, 4 Tc 2.97, 1 Zr 3.22
Zr2 0.5997 0.5997 0.8005  4 Rh 2.92, 4 Tc 2.97, 1 Zr 3.22

Properties
M_tot, μB per cell: 0.0

=====

Pick *2*: it beats the second-best structure by 21.0 kJ/mol of atoms.

=====

*1*
DFT (PBE-GGA) results for crystalline Zr2TcRh2 at its relaxed geometry.

Lattice parameters (Å, degrees): 5.2117 5.2117 5.2117 120.82 120.82 88.59
Last column: nearest neighbours and their distance in Å.
Atoms (fractional coordinates):
Zr1 0.2500 0.7500 0.5000  4 Rh 2.65
Zr2 0.7500 0.2500 0.5000  4 Rh 2.65
Tc1 0.0000 0.0000 0.0000  2 Rh 2.51
Rh1 0.6633 0.6633 0.0000  1 Rh 2.44, 1 Tc 2.51, 4 Zr 2.65
Rh2 0.3367 0.3367 0.0000  1 Rh 2.44, 1 Tc 2.51, 4 Zr 2.65

Properties
M_tot, μB per cell: 0.0

=====

*2*
DFT (PBE-GGA) results for crystalline Zr2TcRh2 at its relaxed geometry.

Lattice parameters (Å, degrees): 7.1493 7.1493 3.4915 90.00 90.00 90.00
Last column: nearest neighbours and their distance in Å.
Atoms (fractional coordinates):
Rh1 0.3709 0.8709 0.0000  1 Rh 2.61, 6 Zr 2.63-2.81, 2 Tc 2.81
Rh2 0.8709 0.6291 0.0000  1 Rh 2.61, 6 Zr 2.63-2.81, 2 Tc 2.81
Rh3 0.6291 0.1291 0.0000  1 Rh 2.61, 6 Zr 2.63-2.81, 2 Tc 2.81
Rh4 0.1291 0.3709 0.0000  1 Rh 2.61, 6 Zr 2.63-2.81, 2 Tc 2.81
Tc1 0.0000 0.0000 0.0000  4 Rh 2.81
Tc2 0.5000 0.5000 0.0000  4 Rh 2.81
Zr1 0.1762 0.6762 0.5000  6 Rh 2.63-2.81
Zr2 0.6762 0.8238 0.5000  6 Rh 2.63-2.81
Zr3 0.8238 0.3239 0.5000  6 Rh 2.63-2.81
Zr4 0.3239 0.1762 0.5000  6 Rh 2.63-2.81

Properties
M_tot, μB per cell: 0.0

=====

Pick *2*: it beats the second-best structure by 42.4 kJ/mol of atoms.